[1]
Compound: KVO4
Source: Alexandria via LeMat-Bulk
Functional: PBE with a Hubbard U
Structure: relaxed

POSCAR file:
```
KVO4
1.0
-0.769 3.582 -0.204
-3.903 -1.143 -5.354
-11.766 -2.010 9.006
K V O
4 4 16
Direct
0.250 0.934 0.681 K
0.250 0.434 0.819 K
0.750 0.066 0.319 K
0.750 0.566 0.181 K
0.250 0.047 0.084 V
0.250 0.547 0.416 V
0.750 0.953 0.916 V
0.750 0.453 0.584 V
0.250 0.890 0.172 O
0.250 0.390 0.328 O
0.750 0.110 0.828 O
0.750 0.610 0.672 O
0.250 0.278 0.130 O
0.250 0.778 0.370 O
0.750 0.722 0.870 O
0.750 0.222 0.630 O
0.250 0.978 0.952 O
0.250 0.478 0.548 O
0.750 0.022 0.048 O
0.750 0.522 0.452 O
0.250 0.044 0.463 O
0.250 0.544 0.037 O
0.750 0.956 0.537 O
0.750 0.456 0.963 O
```

Results
Final energy, eV per atom: -6.01
Calculated volume, Å³/f.u.: 92.2

=====

[2]
Compound: KV3O
Source: Alexandria via LeMat-Bulk
Functional: PBE with a Hubbard U
Structure: relaxed

POSCAR file:
```
KV3O
1.0
4.637 0.000 0.000
0.000 4.637 0.000
0.000 0.000 4.637
K O V
1 1 3
Direct
0.500 0.500 0.500 K
0.000 0.000 0.000 O
0.000 0.500 0.000 V
0.000 0.000 0.500 V
0.500 0.000 0.000 V
```

Results
Final energy, eV per atom: -4.97
Calculated volume, Å³/f.u.: 99.7

=====

Which formula does entry 1 have?
KVO4

=====

Copy entry 1 word for word.
Compound: KVO4
Source: Alexandria via LeMat-Bulk
Functional: PBE with a Hubbard U
Structure: relaxed

POSCAR file:
```
KVO4
1.0
-0.769 3.582 -0.204
-3.903 -1.143 -5.354
-11.766 -2.010 9.006
K V O
4 4 16
Direct
0.250 0.934 0.681 K
0.250 0.434 0.819 K
0.750 0.066 0.319 K
0.750 0.566 0.181 K
0.250 0.047 0.084 V
0.250 0.547 0.416 V
0.750 0.953 0.916 V
0.750 0.453 0.584 V
0.250 0.890 0.172 O
0.250 0.390 0.328 O
0.750 0.110 0.828 O
0.750 0.610 0.672 O
0.250 0.278 0.130 O
0.250 0.778 0.370 O
0.750 0.722 0.870 O
0.750 0.222 0.630 O
0.250 0.978 0.952 O
0.250 0.478 0.548 O
0.750 0.022 0.048 O
0.750 0.522 0.452 O
0.250 0.044 0.463 O
0.250 0.544 0.037 O
0.750 0.956 0.537 O
0.750 0.456 0.963 O
```

Results
Final energy, eV per atom: -6.01
Calculated volume, Å³/f.u.: 92.2

=====

The highest final energy belongs to which entry?
KV3O

=====

Please write out number 1 again, unchanged.
Compound: KVO4
Source: Alexandria via LeMat-Bulk
Functional: PBE with a Hubbard U
Structure: relaxed

POSCAR file:
```
KVO4
1.0
-0.769 3.582 -0.204
-3.903 -1.143 -5.354
-11.766 -2.010 9.006
K V O
4 4 16
Direct
0.250 0.934 0.681 K
0.250 0.434 0.819 K
0.750 0.066 0.319 K
0.750 0.566 0.181 K
0.250 0.047 0.084 V
0.250 0.547 0.416 V
0.750 0.953 0.916 V
0.750 0.453 0.584 V
0.250 0.890 0.172 O
0.250 0.390 0.328 O
0.750 0.110 0.828 O
0.750 0.610 0.672 O
0.250 0.278 0.130 O
0.250 0.778 0.370 O
0.750 0.722 0.870 O
0.750 0.222 0.630 O
0.250 0.978 0.952 O
0.250 0.478 0.548 O
0.750 0.022 0.048 O
0.750 0.522 0.452 O
0.250 0.044 0.463 O
0.250 0.544 0.037 O
0.750 0.956 0.537 O
0.750 0.456 0.963 O
```

Results
Final energy, eV per atom: -6.01
Calculated volume, Å³/f.u.: 92.2